# Ba2VCu2F12 | the Alexandria database | PBE with a Hubbard U | optimized geometry
# energy	-5.197	eV per atom
# space-group type	P-1, No. 2
data_Ba2VCu2F12
_symmetry_space_group_name_H-M 'P 1'
_symmetry_Int_Tables_number 1
_symmetry_space_group_name_Hall 'P 1'
_cell_length_a 5.422
_cell_length_b 7.275
_cell_length_c 7.399
_cell_angle_alpha 66.01
_cell_angle_beta 69.92
_cell_angle_gamma 70.76
loop_
_atom_site_label
_atom_site_type_symbol
_atom_site_fract_x
_atom_site_fract_y
_atom_site_fract_z
F1 F 0.977 0.750 0.016
F2 F 0.772 0.051 0.429
F3 F 0.536 0.080 0.135
F4 F 0.633 0.509 0.136
F5 F 0.367 0.491 0.864
Ba1 Ba 0.234 0.792 0.287
F6 F 0.094 0.370 0.260
F7 F 0.228 0.949 0.571
Cu1 Cu 0.453 0.214 0.328
F8 F 0.667 0.648 0.476
F9 F 0.464 0.920 0.865
Cu2 Cu 0.547 0.786 0.672
F10 F 0.023 0.250 0.984
F11 F 0.906 0.630 0.740
F12 F 0.333 0.352 0.524
V1 V 0.000 0.500 0.000
Ba2 Ba 0.766 0.208 0.713